No. 1
This record from the Alexandria database describes an optimized crystal structure of PtRh3. The functional is PBEsol.

space group = P-6m2 (187)
E = -31.2 eV/cell
formation energy = 0.2 eV/f.u.

Cell: 2.698 2.698 8.826 Å, 90.00 90.00 120.00°
Element x y z (fractional)
Pt 0.000 0.000 0.000
Rh 0.000 0.000 0.500
Rh 0.667 0.333 0.257
Rh 0.667 0.333 0.743


No. 2
This record from the Alexandria database describes an optimized crystal structure of Ru2PtRh. The functional is PBEsol.

space group = R3m (160)
E = -35.4 eV/cell
formation energy = 0.1 eV/f.u.

Cell: 8.971 8.971 8.971 Å, 17.22 17.22 17.22°
Element x y z (fractional)
Ru 0.000 0.000 0.000
Ru 0.255 0.255 0.255
Pt 0.753 0.753 0.753
Rh 0.506 0.506 0.506


No. 3
This record from the Alexandria database describes an optimized crystal structure of RuPtRh. The functional is PBEsol.

space group = Imm2 (44)
E = -25.3 eV/cell
formation energy = 0.0 eV/f.u.

Cell: 4.674 4.674 4.674 Å, 146.54 131.82 59.93°
Element x y z (fractional)
Ru 0.000 0.000 0.000
Pt 0.668 0.668 0.000
Rh 0.341 0.341 0.000


No. 4
This record from the Alexandria database describes an optimized crystal structure of Ru2PtRh. The functional is PBEsol.

space group = C2/m (12)
E = -35.2 eV/cell
formation energy = 0.2 eV/f.u.

Cell: 4.670 4.670 4.648 Å, 99.45 99.45 33.35°
Element x y z (fractional)
Ru 0.248 0.248 0.244
Ru 0.752 0.752 0.756
Pt 0.000 0.000 0.500
Rh 0.500 0.500 0.000